Record 1
Computed, not measured: a relaxed NaMn2Be2 crystal at the PBE level of DFT.

As for the formation energy: 0.379 eV/atom. The spin magnetization is 3.521 μB/cell. The total DFT energy (no corrections) comes out at -5.04 eV per atom.

Lattice parameters (Å, degrees): 7.2868 7.2868 2.2302 90.00 90.00 90.00
Element x y z (fractional)
Na1 0.0000 0.0000 0.0000
Na2 0.5000 0.5000 0.0000
Mn1 0.1156 0.3844 0.5000
Mn2 0.3844 0.8844 0.5000
Mn3 0.6156 0.1156 0.5000
Mn4 0.8844 0.6156 0.5000
Be1 0.1719 0.6719 0.0000
Be2 0.3281 0.1719 0.0000
Be3 0.6719 0.8281 0.0000
Be4 0.8281 0.3281 0.0000

---

Record 2
Computed, not measured: a relaxed K3Sr2 crystal at the PBE level of DFT.

As for the formation energy: 0.044 eV/atom. The spin magnetization is 0.000 μB/cell. The total DFT energy (no corrections) comes out at -1.29 eV per atom.

Lattice parameters (Å, degrees): 19.0821 19.0821 19.0821 13.23 13.23 13.23
Element x y z (fractional)
K1 0.0000 0.0000 0.0000
K2 0.4034 0.4034 0.4034
K3 0.5966 0.5966 0.5966
Sr1 0.1967 0.1967 0.1967
Sr2 0.8033 0.8033 0.8033

---

Record 3
Computed, not measured: a relaxed Dy5Ho4Er2 crystal at the PBE level of DFT.

As for the formation energy: 0.237 eV/atom. The spin magnetization is 0.001 μB/cell. The total DFT energy (no corrections) comes out at -4.35 eV per atom.

Lattice parameters (Å, degrees): 12.4582 12.4582 12.4582 164.00 137.93 45.29
Element x y z (fractional)
Dy1 0.0000 0.0000 0.0000
Dy2 0.0536 0.3548 0.6988
Dy3 0.3440 0.6452 0.6988
Dy4 0.6560 0.3548 0.3012
Dy5 0.9464 0.6452 0.3012
Ho1 0.3091 0.5000 0.8091
Ho2 0.4029 0.9029 0.5000
Ho3 0.5971 0.0971 0.5000
Ho4 0.6909 0.5000 0.1909
Er1 0.2690 0.7690 0.5000
Er2 0.7310 0.2310 0.5000

---

Record 4
Computed, not measured: a relaxed TaSi2Mo crystal at the PBE level of DFT.

The spin magnetization is 0.000 μB/cell. The calculation puts the formation energy (no corrections) at -0.339 eV/atom. The total DFT energy (no corrections) comes out at -8.72 eV per atom.

Lattice parameters (Å, degrees): 4.0797 4.8421 4.8421 38.56 90.00 90.00
Element x y z (fractional)
Ta1 0.0000 0.0000 0.0000
Si1 0.0000 0.2746 0.2746
Si2 0.5000 0.4365 0.4365
Mo1 0.5000 0.7179 0.7179

---

Record 5
Computed, not measured: a relaxed Nd2Dy3Th2 crystal at the PBE level of DFT.

As for the formation energy: 0.034 eV/atom. The spin magnetization is 0.000 μB/cell. The total DFT energy (no corrections) comes out at -5.42 eV per atom.

Lattice parameters (Å, degrees): 3.6090 8.0131 8.7500 69.43 89.99 77.02
Element x y z (fractional)
Nd1 0.2161 0.0662 0.1429
Nd2 0.7839 0.9338 0.8571
Dy1 0.3634 0.7750 0.5650
Dy2 0.5000 0.5000 0.0000
Dy3 0.6366 0.2250 0.4350
Th1 0.0684 0.3637 0.7114
Th2 0.9316 0.6363 0.2886

---

Record 6
Computed, not measured: a relaxed NdZr2FeN4 crystal at the PBE level of DFT.

The spin magnetization is 3.816 μB/cell. The calculation puts the formation energy (no corrections) at -1.244 eV/atom. The total DFT energy (no corrections) comes out at -9.20 eV per atom.

Lattice parameters (Å, degrees): 5.8136 5.8136 11.1293 90.00 90.00 147.25
Element x y z (fractional)
Nd1 0.1046 0.8954 0.7500
Nd2 0.8954 0.1046 0.2500
Zr1 0.3676 0.6324 0.5503
Zr2 0.3676 0.6324 0.9497
Zr3 0.6324 0.3676 0.0503
Zr4 0.6324 0.3676 0.4497
Fe1 0.1580 0.8420 0.2500
Fe2 0.8420 0.1580 0.7500
N1 0.0000 0.0000 0.0000
N2 0.0000 0.0000 0.5000
N3 0.2670 0.7330 0.1164
N4 0.2670 0.7330 0.3836
N5 0.4356 0.5644 0.7500
N6 0.5644 0.4356 0.2500
N7 0.7330 0.2670 0.6164
N8 0.7330 0.2670 0.8836

---

Record 7
Computed, not measured: a relaxed Pr5Te4Br crystal at the PBE level of DFT.

The spin magnetization is 0.000 μB/cell. The calculation puts the formation energy (no corrections) at -1.343 eV/atom. The total DFT energy (no corrections) comes out at -5.16 eV per atom.

Lattice parameters (Å, degrees): 16.4465 16.4465 16.4465 164.34 164.34 22.22
Element x y z (fractional)
Pr1 0.0000 0.0000 0.0000
Pr2 0.1931 0.1931 0.0000
Pr3 0.3952 0.3952 0.0000
Pr4 0.6048 0.6048 0.0000
Pr5 0.8069 0.8069 0.0000
Te1 0.0964 0.0964 0.0000
Te2 0.2959 0.2959 0.0000
Te3 0.7041 0.7041 0.0000
Te4 0.9036 0.9036 0.0000
Br1 0.5000 0.5000 0.0000

---

Record 8
Computed, not measured: a relaxed KZnRu2 crystal at the PBE level of DFT.

As for the formation energy: 0.783 eV/atom. The spin magnetization is 0.144 μB/cell. The total DFT energy (no corrections) comes out at -4.45 eV per atom.

Lattice parameters (Å, degrees): 5.9335 5.9335 5.9335 153.47 131.23 56.37
Element x y z (fractional)
K1 0.0000 0.0000 0.0000
Zn1 0.5000 0.5000 0.0000
Ru1 0.2831 0.7831 0.5000
Ru2 0.7169 0.2169 0.5000

---

Record 9
Computed, not measured: a relaxed SrZnN crystal at the PBE level of DFT.

The spin magnetization is 0.000 μB/cell. The calculation puts the formation energy (no corrections) at -0.382 eV/atom. The total DFT energy (no corrections) comes out at -4.14 eV per atom.

Lattice parameters (Å, degrees): 3.8988 3.8988 9.1437 101.80 101.80 90.00
Element x y z (fractional)
Sr1 0.1832 0.1832 0.3619
Sr2 0.8168 0.8168 0.6381
Zn1 0.4284 0.4284 0.8652
Zn2 0.5716 0.5716 0.1348
N1 0.3229 0.3229 0.6549
N2 0.6771 0.6771 0.3451

---

Record 10
Computed, not measured: a relaxed BaTa2Au crystal at the PBE level of DFT.

As for the formation energy: 1.065 eV/atom. The spin magnetization is 0.000 μB/cell. The total DFT energy (no corrections) comes out at -6.16 eV per atom.

Lattice parameters (Å, degrees): 4.8923 4.8923 4.8923 60.00 60.00 60.00
Element x y z (fractional)
Ba1 0.0000 0.0000 0.0000
Ta1 0.2500 0.2500 0.2500
Ta2 0.7500 0.7500 0.7500
Au1 0.5000 0.5000 0.5000

---

Record 11
Computed, not measured: a relaxed BeTc2 crystal at the PBE level of DFT.

As for the formation energy: 0.265 eV/atom. The spin magnetization is 0.000 μB/cell. The total DFT energy (no corrections) comes out at -7.89 eV per atom.

Lattice parameters (Å, degrees): 4.2563 4.2563 5.3833 90.00 90.00 120.00
Element x y z (fractional)
Be1 0.0000 0.0000 0.2500
Be2 0.0000 0.0000 0.7500
Tc1 0.3333 0.6667 0.0332
Tc2 0.3333 0.6667 0.4668
Tc3 0.6667 0.3333 0.5332
Tc4 0.6667 0.3333 0.9668

---

Record 12
Computed, not measured: a relaxed Sr2CaF crystal at the PBE level of DFT.

The spin magnetization is 0.000 μB/cell. The calculation puts the formation energy (no corrections) at -1.334 eV/atom. The total DFT energy (no corrections) comes out at -3.14 eV per atom.

Lattice parameters (Å, degrees): 7.6352 7.6352 7.6352 117.66 117.66 94.10
Element x y z (fractional)
Sr1 0.3750 0.0448 0.1698
Sr2 0.7948 0.6250 0.6698
Sr3 0.8750 0.2052 0.8302
Sr4 0.9552 0.1250 0.3302
Ca1 0.2500 0.7500 0.5000
Ca2 0.5000 0.5000 0.0000
F1 0.0000 0.0000 0.0000
F2 0.7500 0.2500 0.5000